[1]
Density functional theory data (PBE) for BeIn2As after structural relaxation.

Calculated values
* ΔE_f: 104 meV/atom
* crystal system: monoclinic
* DFT total energy: -3.359 eV per atom

CIF file:
```
data_BeIn2As
_space_group_name_H-M_alt 'P 1 m 1'
_space_group_IT_number 6
_space_group_name_Hall 'P -2y'
_cell_length_a 5.164
_cell_length_b 3.740
_cell_length_c 5.165
_cell_angle_alpha 90.00
_cell_angle_beta 118.67
_cell_angle_gamma 90.00
loop_
_atom_site_label
_atom_site_type_symbol
_atom_site_fract_x
_atom_site_fract_y
_atom_site_fract_z
Be1 Be 0.000 0.000 0.000
In1 In 0.226 0.500 0.776
In2 In 0.566 0.000 0.435
As1 As 0.865 0.500 0.137
```



[2]
Density functional theory data (PBE) for BeIn2As after structural relaxation.

Calculated values
* ΔE_f: 502 meV/atom
* crystal system: tetragonal
* DFT total energy: -2.961 eV per atom

CIF file:
```
data_BeIn2As
_space_group_name_H-M_alt 'I -4 m 2'
_space_group_IT_number 119
_space_group_name_Hall 'I -4 -2'
_cell_length_a 4.305
_cell_length_b 4.305
_cell_length_c 8.965
_cell_angle_alpha 90.00
_cell_angle_beta 90.00
_cell_angle_gamma 90.00
loop_
_atom_site_label
_atom_site_type_symbol
_atom_site_fract_x
_atom_site_fract_y
_atom_site_fract_z
Be1 Be 0.000 0.000 0.000
In1 In 0.000 0.000 0.500
In2 In 0.000 0.500 0.750
As1 As 0.000 0.500 0.250
```



[3]
Density functional theory data (PBE) for BeIn2As after structural relaxation.

Calculated values
* ΔE_f: 209 meV/atom
* crystal system: orthorhombic
* DFT total energy: -3.254 eV per atom

CIF file:
```
data_BeIn2As
_space_group_name_H-M_alt 'C m m 2'
_space_group_IT_number 35
_space_group_name_Hall 'C 2 -2'
_cell_length_a 3.827
_cell_length_b 5.313
_cell_length_c 8.563
_cell_angle_alpha 90.00
_cell_angle_beta 90.00
_cell_angle_gamma 90.00
loop_
_atom_site_label
_atom_site_type_symbol
_atom_site_fract_x
_atom_site_fract_y
_atom_site_fract_z
Be1 Be 0.000 0.000 0.000
In1 In 0.000 0.000 0.563
In2 In 0.000 0.500 0.237
As1 As 0.000 0.500 0.874
```



[4]
Density functional theory data (PBE) for Be2In2As after structural relaxation.

Calculated values
* ΔE_f: 512 meV/atom
* crystal system: tetragonal
* DFT total energy: -3.004 eV per atom

CIF file:
```
data_Be2In2As
_space_group_name_H-M_alt 'P 4/m b m'
_space_group_IT_number 127
_space_group_name_Hall '-P 4 2ab'
_cell_length_a 7.958
_cell_length_b 7.958
_cell_length_c 2.891
_cell_angle_alpha 90.00
_cell_angle_beta 90.00
_cell_angle_gamma 90.00
loop_
_atom_site_label
_atom_site_type_symbol
_atom_site_fract_x
_atom_site_fract_y
_atom_site_fract_z
Be1 Be 0.096 0.404 0.000
In1 In 0.199 0.699 0.500
As1 As 0.000 0.000 0.500
```



[5]
Density functional theory data (PBE) for BeInAs after structural relaxation.

Calculated values
* ΔE_f: 350 meV/atom
* crystal system: tetragonal
* DFT total energy: -3.355 eV per atom

CIF file:
```
data_BeInAs
_space_group_name_H-M_alt 'I 4 m m'
_space_group_IT_number 107
_space_group_name_Hall 'I 4 -2'
_cell_length_a 3.083
_cell_length_b 3.083
_cell_length_c 12.160
_cell_angle_alpha 90.00
_cell_angle_beta 90.00
_cell_angle_gamma 90.00
loop_
_atom_site_label
_atom_site_type_symbol
_atom_site_fract_x
_atom_site_fract_y
_atom_site_fract_z
Be1 Be 0.000 0.000 0.000
In1 In 0.000 0.000 0.673
As1 As 0.000 0.000 0.410
```



[6]
Density functional theory data (PBE) for BeIn2As after structural relaxation.

Calculated values
* ΔE_f: 409 meV/atom
* crystal system: tetragonal
* DFT total energy: -3.054 eV per atom

CIF file:
```
data_BeIn2As
_space_group_name_H-M_alt 'I -4 2 d'
_space_group_IT_number 122
_space_group_name_Hall 'I -4 2bw'
_cell_length_a 6.375
_cell_length_b 6.375
_cell_length_c 10.463
_cell_angle_alpha 90.00
_cell_angle_beta 90.00
_cell_angle_gamma 90.00
loop_
_atom_site_label
_atom_site_type_symbol
_atom_site_fract_x
_atom_site_fract_y
_atom_site_fract_z
Be1 Be 0.000 0.000 0.000
In1 In 0.229 0.250 0.125
As1 As 0.000 0.000 0.500
```



[7]
Density functional theory data (PBE) for K2BeInAs2 after structural relaxation.

Calculated values
* ΔE_f: -259 meV/atom
* crystal system: orthorhombic
* DFT total energy: -3.252 eV per atom

CIF file:
```
data_K2BeInAs2
_space_group_name_H-M_alt 'I b a m'
_space_group_IT_number 72
_space_group_name_Hall '-I 2 2c'
_cell_length_a 6.698
_cell_length_b 14.914
_cell_length_c 6.446
_cell_angle_alpha 90.00
_cell_angle_beta 90.00
_cell_angle_gamma 90.00
loop_
_atom_site_label
_atom_site_type_symbol
_atom_site_fract_x
_atom_site_fract_y
_atom_site_fract_z
K1 K 0.249 0.173 0.000
Be1 Be 0.000 0.000 0.250
In1 In 0.000 0.500 0.250
As1 As 0.196 0.087 0.500
```



[8]
Density functional theory data (PBE) for KBeInAs2 after structural relaxation.

Calculated values
* ΔE_f: 1518 meV/atom
* crystal system: tetragonal
* DFT total energy: -1.854 eV per atom

CIF file:
```
data_KBeInAs2
_space_group_name_H-M_alt 'P 4/m m m'
_space_group_IT_number 123
_space_group_name_Hall '-P 4 2'
_cell_length_a 5.643
_cell_length_b 5.643
_cell_length_c 5.419
_cell_angle_alpha 90.00
_cell_angle_beta 90.00
_cell_angle_gamma 90.00
loop_
_atom_site_label
_atom_site_type_symbol
_atom_site_fract_x
_atom_site_fract_y
_atom_site_fract_z
K1 K 0.000 0.000 0.000
Be1 Be 0.000 0.000 0.500
In1 In 0.500 0.500 0.500
As1 As 0.000 0.500 0.000
```



[9]
Density functional theory data (PBE) for Be2InAsO6 after structural relaxation.

Calculated values
* crystal system: monoclinic
* raw formation energy: -1.821 eV/atom
* DFT total energy: -6.280 eV per atom

CIF file:
```
data_Be2InAsO6
_space_group_name_H-M_alt 'C 1 2/c 1'
_space_group_IT_number 15
_space_group_name_Hall '-C 2yc'
_cell_length_a 9.823
_cell_length_b 8.491
_cell_length_c 5.536
_cell_angle_alpha 90.00
_cell_angle_beta 113.78
_cell_angle_gamma 90.00
loop_
_atom_site_label
_atom_site_type_symbol
_atom_site_fract_x
_atom_site_fract_y
_atom_site_fract_z
Be1 Be 0.198 0.070 0.140
In1 In 0.000 0.401 0.250
As1 As 0.000 0.209 0.750
O1 O 0.092 0.223 0.102
O2 O 0.122 0.396 0.695
O3 O 0.150 0.064 0.807
```



[10]
Density functional theory data (PBE) for BeIn2AsS after structural relaxation.

Calculated values
* crystal system: tetragonal
* raw formation energy: 0.790 eV/atom
* DFT total energy: -2.806 eV per atom

CIF file:
```
data_BeIn2AsS
_space_group_name_H-M_alt 'P 4/m m m'
_space_group_IT_number 123
_space_group_name_Hall '-P 4 2'
_cell_length_a 5.423
_cell_length_b 5.423
_cell_length_c 4.830
_cell_angle_alpha 90.00
_cell_angle_beta 90.00
_cell_angle_gamma 90.00
loop_
_atom_site_label
_atom_site_type_symbol
_atom_site_fract_x
_atom_site_fract_y
_atom_site_fract_z
Be1 Be 0.000 0.000 0.000
In1 In 0.000 0.500 0.500
As1 As 0.500 0.500 0.500
S1 S 0.500 0.500 0.000
```



[11]
Density functional theory data (PBE) for BeInAs2Se after structural relaxation.

Calculated values
* crystal system: tetragonal
* raw formation energy: 1.298 eV/atom
* DFT total energy: -2.551 eV per atom

CIF file:
```
data_BeInAs2Se
_space_group_name_H-M_alt 'P 4/m m m'
_space_group_IT_number 123
_space_group_name_Hall '-P 4 2'
_cell_length_a 5.295
_cell_length_b 5.295
_cell_length_c 5.339
_cell_angle_alpha 90.00
_cell_angle_beta 90.00
_cell_angle_gamma 90.00
loop_
_atom_site_label
_atom_site_type_symbol
_atom_site_fract_x
_atom_site_fract_y
_atom_site_fract_z
Be1 Be 0.000 0.000 0.000
In1 In 0.500 0.500 0.500
As1 As 0.000 0.500 0.500
Se1 Se 0.500 0.500 0.000
```



[12]
Density functional theory data (PBE) for BeInAs2Se after structural relaxation.

Calculated values
* crystal system: tetragonal
* raw formation energy: 0.342 eV/atom
* DFT total energy: -3.508 eV per atom

CIF file:
```
data_BeInAs2Se
_space_group_name_H-M_alt 'P 4/m m m'
_space_group_IT_number 123
_space_group_name_Hall '-P 4 2'
_cell_length_a 4.448
_cell_length_b 4.448
_cell_length_c 5.287
_cell_angle_alpha 90.00
_cell_angle_beta 90.00
_cell_angle_gamma 90.00
loop_
_atom_site_label
_atom_site_type_symbol
_atom_site_fract_x
_atom_site_fract_y
_atom_site_fract_z
Be1 Be 0.000 0.000 0.000
In1 In 0.500 0.500 0.500
As1 As 0.000 0.500 0.000
Se1 Se 0.000 0.000 0.500
```